Ta3InGa | GGA-PBE | optimized geometry

a b c (Å): 4.750 4.750 4.750
angles (deg): 90.00 90.00 90.00
Positions (direct):
1 In 0.500 0.500 0.500
2 Ga 0.000 0.000 0.000
3 Ta 0.000 0.500 0.000
4 Ta 0.000 0.000 0.500
5 Ta 0.500 0.000 0.000

The calculation puts the calculated total energy at -7.20 eV/atom. The size of the total moment is 0.00 Bohr magnetons per cell. The space-group type is No. 221. The formation energy from the elements comes out at 1062.3 meV per atom. The energy above the most stable polymorph in this dataset is 0.00 eV/f.u.

TaIn3Ga | GGA-PBE | optimized geometry

a b c (Å): 5.136 5.136 5.136
angles (deg): 90.00 90.00 90.00
Site moments in Bohr magnetons follow the coordinates.
Positions (direct):
1 In 0.000 0.500 0.000  -0.01
2 In 0.000 0.000 0.500  -0.03
3 In 0.500 0.000 0.000  -0.01
4 Ga 0.000 0.000 0.000  0.02
5 Ta 0.500 0.500 0.500  1.40

The calculation puts the calculated total energy at -3.46 eV/atom. The size of the total moment is 2.02 Bohr magnetons per cell. The space-group type is No. 221. The formation energy from the elements comes out at 1160.2 meV per atom. The energy above the most stable polymorph in this dataset is 2.43 eV/f.u.